Record 1
The following is a DFT calculation (PBE) of CePmGaPt after structural relaxation.

Lattice parameters (Å, degrees): 5.131 5.131 5.131 60.00 60.00 60.00
Fractional coordinates of all 4 atoms:
Ce (0.000, 0.000, 0.000)
Pm (0.500, 0.500, 0.500)
Ga (0.250, 0.250, 0.250)
Pt (0.750, 0.750, 0.750)

Properties
**Calculated formation energy**: -2.79 eV per formula unit

Record 2
The following is a DFT calculation (PBE) of CePm2Ga3Pt4 after structural relaxation.

Lattice parameters (Å, degrees): 4.353 4.353 11.108 90.00 90.00 90.00
Fractional coordinates of all 10 atoms:
Ce (0.000, 0.000, 0.000)
Pm (0.000, 0.500, 0.721)
Pm (0.500, 0.000, 0.279)
Ga (0.000, 0.500, 0.379)
Ga (0.500, 0.000, 0.621)
Ga (0.500, 0.500, 0.000)
Pt (0.000, 0.000, 0.500)
Pt (0.000, 0.500, 0.156)
Pt (0.500, 0.000, 0.844)
Pt (0.500, 0.500, 0.500)

Properties
**Calculated formation energy**: -9.27 eV per formula unit

Record 3
The following is a DFT calculation (PBE) of CePmGa2Rh2 after structural relaxation.

Lattice parameters (Å, degrees): 4.432 4.432 7.230 90.00 90.00 120.00
Fractional coordinates of all 6 atoms:
Ce (0.000, 0.000, 0.000)
Pm (0.000, 0.000, 0.500)
Ga (0.333, 0.667, 0.753)
Ga (0.667, 0.333, 0.247)
Rh (0.333, 0.667, 0.225)
Rh (0.667, 0.333, 0.775)

Properties
**Calculated formation energy**: -4.66 eV per formula unit

Record 4
The following is a DFT calculation (PBE) of CePmScGa after structural relaxation.

Lattice parameters (Å, degrees): 5.203 5.203 5.203 60.00 60.00 60.00
Fractional coordinates of all 4 atoms:
Ce (0.000, 0.000, 0.000)
Pm (0.250, 0.250, 0.250)
Sc (0.500, 0.500, 0.500)
Ga (0.750, 0.750, 0.750)

Properties
**Calculated formation energy**: -0.29 eV per formula unit

Record 5
The following is a DFT calculation (PBE) of CePmGaSi after structural relaxation.

Lattice parameters (Å, degrees): 5.131 5.131 5.131 60.00 60.00 60.00
Fractional coordinates of all 4 atoms:
Ce (0.000, 0.000, 0.000)
Pm (0.500, 0.500, 0.500)
Ga (0.250, 0.250, 0.250)
Si (0.750, 0.750, 0.750)

Properties
**Energy relative to the elements, uncorrected**: -456 meV/atom

Record 6
The following is a DFT calculation (PBE) of CePmGaSi after structural relaxation.

Lattice parameters (Å, degrees): 4.027 5.976 5.976 43.14 90.00 90.00
Fractional coordinates of all 4 atoms:
Ce (0.000, 0.000, 0.000)
Pm (0.500, 0.714, 0.714)
Ga (0.000, 0.288, 0.288)
Si (0.500, 0.431, 0.431)

Properties
**Energy relative to the elements, uncorrected**: -636 meV/atom

Record 7
The following is a DFT calculation (PBE) of CePmSmGa after structural relaxation.

Lattice parameters (Å, degrees): 5.369 5.369 5.369 60.00 60.00 60.00
Fractional coordinates of all 4 atoms:
Ce (0.000, 0.000, 0.000)
Pm (0.250, 0.250, 0.250)
Sm (0.500, 0.500, 0.500)
Ga (0.750, 0.750, 0.750)

Properties
**Calculated formation energy**: -0.20 eV per formula unit

Record 8
The following is a DFT calculation (PBE) of CePmGaSn after structural relaxation.

Lattice parameters (Å, degrees): 5.337 5.337 5.337 60.00 60.00 60.00
Fractional coordinates of all 4 atoms:
Ce (0.000, 0.000, 0.000)
Pm (0.500, 0.500, 0.500)
Ga (0.250, 0.250, 0.250)
Sn (0.750, 0.750, 0.750)

Properties
**Calculated formation energy**: -2.07 eV per formula unit

Record 9
The following is a DFT calculation (PBE) of CePmThGa after structural relaxation.

Lattice parameters (Å, degrees): 5.336 5.336 5.336 60.00 60.00 60.00
Fractional coordinates of all 4 atoms:
Ce (0.000, 0.000, 0.000)
Pm (0.250, 0.250, 0.250)
Th (0.750, 0.750, 0.750)
Ga (0.500, 0.500, 0.500)

Properties
**Calculated formation energy**: -0.10 eV per formula unit

Record 10
The following is a DFT calculation (PBE) of CePmTmGa after structural relaxation.

Lattice parameters (Å, degrees): 5.307 5.307 5.307 60.00 60.00 60.00
Fractional coordinates of all 4 atoms:
Ce (0.000, 0.000, 0.000)
Pm (0.250, 0.250, 0.250)
Tm (0.500, 0.500, 0.500)
Ga (0.750, 0.750, 0.750)

Properties
**Calculated formation energy**: -0.17 eV per formula unit

Record 11
The following is a DFT calculation (PBE) of CePmYGa after structural relaxation.

Lattice parameters (Å, degrees): 5.343 5.343 5.343 60.00 60.00 60.00
Fractional coordinates of all 4 atoms:
Ce (0.000, 0.000, 0.000)
Pm (0.750, 0.750, 0.750)
Y (0.500, 0.500, 0.500)
Ga (0.250, 0.250, 0.250)

Properties
**Calculated formation energy**: -0.22 eV per formula unit

Record 12
The following is a DFT calculation (PBE) of CePmZnGa after structural relaxation.

Lattice parameters (Å, degrees): 5.163 5.163 5.163 60.00 60.00 60.00
Fractional coordinates of all 4 atoms:
Ce (0.000, 0.000, 0.000)
Pm (0.500, 0.500, 0.500)
Zn (0.250, 0.250, 0.250)
Ga (0.750, 0.750, 0.750)

Properties
**Calculated formation energy**: -1.53 eV per formula unit

Record 13
The following is a DFT calculation (PBE) of CePmZnGa after structural relaxation.

Lattice parameters (Å, degrees): 3.592 3.592 7.510 90.00 90.00 90.00
Fractional coordinates of all 4 atoms:
Ce (0.000, 0.000, 0.000)
Pm (0.000, 0.000, 0.500)
Zn (0.500, 0.500, 0.253)
Ga (0.500, 0.500, 0.748)

Properties
**Calculated formation energy**: -1.51 eV per formula unit

Record 14
The following is a DFT calculation (PBE) of Ce2PmZn2Ga2 after structural relaxation.

Lattice parameters (Å, degrees): 9.561 9.561 9.561 26.31 26.31 26.31
Fractional coordinates of all 7 atoms:
Ce (0.142, 0.142, 0.142)
Ce (0.858, 0.858, 0.858)
Pm (0.000, 0.000, 0.000)
Zn (0.406, 0.406, 0.406)
Zn (0.594, 0.594, 0.594)
Ga (0.262, 0.262, 0.262)
Ga (0.738, 0.738, 0.738)

Properties
**Calculated formation energy**: -3.04 eV per formula unit

Record 15
The following is a DFT calculation (PBE) of CePr3Ga3 after structural relaxation.

Lattice parameters (Å, degrees): 7.413 7.413 7.116 90.00 90.00 90.73
Fractional coordinates of all 14 atoms:
Ce (0.238, 0.762, 0.000)
Ce (0.762, 0.238, 0.000)
Pr (0.234, 0.234, 0.500)
Pr (0.271, 0.729, 0.500)
Pr (0.278, 0.278, 0.000)
Pr (0.722, 0.722, 0.000)
Pr (0.729, 0.271, 0.500)
Pr (0.766, 0.766, 0.500)
Ga (0.000, 0.000, 0.238)
Ga (0.000, 0.000, 0.762)
Ga (0.000, 0.500, 0.247)
Ga (0.000, 0.500, 0.753)
Ga (0.500, 0.000, 0.247)
Ga (0.500, 0.000, 0.753)

Properties
**Calculated formation energy**: -2.65 eV per formula unit

Record 16
The following is a DFT calculation (PBE) of Ce2Pr2Ga3 after structural relaxation.

Lattice parameters (Å, degrees): 12.362 12.362 3.427 90.00 90.00 160.54
Fractional coordinates of all 7 atoms:
Ce (0.213, 0.787, 0.000)
Ce (0.787, 0.213, 0.000)
Pr (0.074, 0.926, 0.000)
Pr (0.926, 0.074, 0.000)
Ga (0.352, 0.648, 0.500)
Ga (0.500, 0.500, 0.500)
Ga (0.648, 0.352, 0.500)

Properties
**Calculated formation energy**: -2.79 eV per formula unit

Record 17
The following is a DFT calculation (PBE) of Ce4PrGa4 after structural relaxation.

Lattice parameters (Å, degrees): 8.585 8.585 5.971 90.00 90.00 90.00
Fractional coordinates of all 18 atoms:
Ce (0.097, 0.815, 0.127)
Ce (0.185, 0.597, 0.627)
Ce (0.315, 0.903, 0.627)
Ce (0.403, 0.685, 0.127)
Ce (0.597, 0.315, 0.873)
Ce (0.685, 0.097, 0.373)
Ce (0.815, 0.403, 0.373)
Ce (0.903, 0.185, 0.873)
Pr (0.250, 0.250, 0.750)
Pr (0.750, 0.750, 0.250)
Ga (0.057, 0.142, 0.342)
Ga (0.142, 0.443, 0.158)
Ga (0.358, 0.057, 0.158)
Ga (0.443, 0.358, 0.342)
Ga (0.557, 0.642, 0.658)
Ga (0.642, 0.943, 0.842)
Ga (0.858, 0.557, 0.842)
Ga (0.943, 0.858, 0.658)

Properties
**Calculated formation energy**: -2.43 eV per formula unit

Record 18
The following is a DFT calculation (PBE) of CePrGa2 after structural relaxation.

Lattice parameters (Å, degrees): 4.102 4.540 10.811 90.00 100.90 90.00
Fractional coordinates of all 8 atoms:
Ce (0.047, 0.250, 0.089)
Ce (0.953, 0.750, 0.911)
Pr (0.309, 0.750, 0.620)
Pr (0.691, 0.250, 0.380)
Ga (0.156, 0.750, 0.310)
Ga (0.422, 0.250, 0.847)
Ga (0.578, 0.750, 0.153)
Ga (0.844, 0.250, 0.690)

Properties
**Calculated formation energy**: -2.22 eV per formula unit

Record 19
The following is a DFT calculation (PBE) of CePr4Ga5 after structural relaxation.

Lattice parameters (Å, degrees): 3.702 3.702 18.638 90.00 90.00 90.00
Fractional coordinates of all 10 atoms:
Ce (0.000, 0.000, 0.000)
Pr (0.000, 0.000, 0.198)
Pr (0.000, 0.000, 0.399)
Pr (0.000, 0.000, 0.601)
Pr (0.000, 0.000, 0.802)
Ga (0.500, 0.500, 0.098)
Ga (0.500, 0.500, 0.299)
Ga (0.500, 0.500, 0.500)
Ga (0.500, 0.500, 0.701)
Ga (0.500, 0.500, 0.902)

Properties
**Calculated formation energy**: -5.22 eV per formula unit

Record 20
The following is a DFT calculation (PBE) of CePr2Ga4 after structural relaxation.

Lattice parameters (Å, degrees): 9.945 9.945 9.945 155.54 154.45 35.66
Fractional coordinates of all 7 atoms:
Ce (0.000, 0.000, 0.000)
Pr (0.184, 0.684, 0.500)
Pr (0.816, 0.316, 0.500)
Ga (0.360, 0.860, 0.500)
Ga (0.435, 0.435, 0.000)
Ga (0.565, 0.565, 0.000)
Ga (0.640, 0.140, 0.500)

Properties
**Calculated formation energy**: -4.11 eV per formula unit

Record 21
The following is a DFT calculation (PBE) of Ce4Pr3Ga4 after structural relaxation.

Lattice parameters (Å, degrees): 9.416 9.416 9.416 151.70 129.00 59.35
Fractional coordinates of all 11 atoms:
Ce (0.005, 0.837, 0.168)
Ce (0.331, 0.163, 0.168)
Ce (0.669, 0.837, 0.832)
Ce (0.995, 0.163, 0.832)
Pr (0.000, 0.500, 0.500)
Pr (0.386, 0.386, 0.000)
Pr (0.614, 0.614, 0.000)
Ga (0.243, 0.743, 0.500)
Ga (0.333, 0.000, 0.333)
Ga (0.667, 0.000, 0.667)
Ga (0.757, 0.257, 0.500)

Properties
**Calculated formation energy**: -3.35 eV per formula unit

Record 22
The following is a DFT calculation (PBE) of CePrGa2 after structural relaxation.

Lattice parameters (Å, degrees): 4.174 6.051 6.051 43.07 90.00 90.00
Fractional coordinates of all 4 atoms:
Ce (0.000, 0.000, 0.000)
Pr (0.500, 0.714, 0.714)
Ga (0.000, 0.288, 0.288)
Ga (0.500, 0.429, 0.429)

Properties
**Calculated formation energy**: -2.07 eV per formula unit

Record 23
The following is a DFT calculation (PBE) of CePrGa after structural relaxation.

Lattice parameters (Å, degrees): 4.509 4.335 8.471 90.00 90.97 90.00
Fractional coordinates of all 6 atoms:
Ce (0.198, 0.250, 0.010)
Ce (0.802, 0.750, 0.990)
Pr (0.246, 0.750, 0.368)
Pr (0.754, 0.250, 0.632)
Ga (0.271, 0.750, 0.740)
Ga (0.729, 0.250, 0.260)

Properties
**Calculated formation energy**: -1.16 eV per formula unit

Record 24
The following is a DFT calculation (PBE) of CePr2Ga after structural relaxation.

Lattice parameters (Å, degrees): 10.746 10.746 10.746 19.80 19.80 19.80
Fractional coordinates of all 4 atoms:
Ce (0.000, 0.000, 0.000)
Pr (0.239, 0.239, 0.239)
Pr (0.427, 0.427, 0.427)
Ga (0.833, 0.833, 0.833)

Properties
**Calculated formation energy**: -0.31 eV per formula unit

Record 25
The following is a DFT calculation (PBE) of CePrGa after structural relaxation.

Lattice parameters (Å, degrees): 5.072 5.072 5.072 60.00 60.00 60.00
Fractional coordinates of all 3 atoms:
Ce (0.000, 0.000, 0.000)
Pr (0.500, 0.500, 0.500)
Ga (0.250, 0.250, 0.250)

Properties
**Calculated formation energy**: -0.44 eV per formula unit

Record 26
The following is a DFT calculation (PBE) of CePr2Ga after structural relaxation.

Lattice parameters (Å, degrees): 3.620 3.620 8.883 90.00 90.00 90.00
Fractional coordinates of all 4 atoms:
Ce (0.000, 0.000, 0.000)
Pr (0.500, 0.500, 0.281)
Pr (0.500, 0.500, 0.719)
Ga (0.000, 0.000, 0.500)

Properties
**Calculated formation energy**: -0.77 eV per formula unit

Record 27
The following is a DFT calculation (PBE) of CePrGa6 after structural relaxation.

Lattice parameters (Å, degrees): 6.445 6.445 4.606 90.00 90.00 120.00
Fractional coordinates of all 8 atoms:
Ce (0.000, 0.000, 0.000)
Pr (0.333, 0.667, 0.500)
Ga (0.377, 0.189, 0.500)
Ga (0.524, 0.048, 0.000)
Ga (0.524, 0.476, 0.000)
Ga (0.811, 0.189, 0.500)
Ga (0.811, 0.623, 0.500)
Ga (0.952, 0.476, 0.000)

Properties
**Calculated formation energy**: -4.51 eV per formula unit

In the order shown, the computed E_tot values come out to -5.635, -5.795, -6.017, -5.083, -5.239, -5.420, -4.658, -4.946, -5.307, -4.589, -5.100, -4.129, -4.123, -4.037, -4.573, -4.757, -4.784, -4.747, -4.540, -4.530, -4.867, -4.709, -4.968, -4.708, -4.726, -4.823, -4.173 eV/atom.